DFT (PBE-GGA) results for a relaxed structure of AgGeH.

a = 11.3096 Å, b = 6.1922 Å, c = 5.1344 Å
α = 90.00°, β = 90.00°, γ = 90.00°
Space group Pbcn (No. 60)
Asymmetric unit:
Ag 0.1333 0.1754 0.2333 x8
Ge 0.1133 0.3760 0.7021 x8
H 0.1265 0.1061 0.8702 x8

electronic total energy = -3.24 eV/atom
D(E_F) = 0.303 states/eV per atom

=====

DFT (PBE-GGA) results for a relaxed structure of BiPb2C.

a = 7.4445 Å, b = 7.4445 Å, c = 7.4445 Å
α = 90.00°, β = 90.00°, γ = 90.00°
Space group Fm-3m (No. 225)
Asymmetric unit:
Bi 0.0000 0.0000 0.0000 x4
Pb 0.2500 0.2500 0.2500 x8
C 0.0000 0.0000 0.5000 x4

ΔE_f = 1425 meV/atom
energy above the lowest structure with this stoichiometry = 0.451 eV/atom
D(E_F) = 0.711 states/eV per atom

=====

DFT (PBE-GGA) results for a relaxed structure of SrLaTi2Tc.

a = 4.7615 Å, b = 4.7615 Å, c = 5.4323 Å
α = 90.00°, β = 90.00°, γ = 90.00°
Space group P4/mmm (No. 123)
Asymmetric unit:
Sr 0.0000 0.0000 0.0000 x1
La 0.0000 0.0000 0.5000 x1
Ti 0.0000 0.5000 0.0000 x2
Tc 0.5000 0.5000 0.5000 x1

ΔE_f = 2061 meV/atom
D(E_F) = 1.287 states/eV per atom

=====

Please write out number 2 again, unchanged.
DFT (PBE-GGA) results for a relaxed structure of BiPb2C.

a = 7.4445 Å, b = 7.4445 Å, c = 7.4445 Å
α = 90.00°, β = 90.00°, γ = 90.00°
Space group Fm-3m (No. 225)
Asymmetric unit:
Bi 0.0000 0.0000 0.0000 x4
Pb 0.2500 0.2500 0.2500 x8
C 0.0000 0.0000 0.5000 x4

ΔE_f = 1425 meV/atom
energy above the lowest structure with this stoichiometry = 0.451 eV/atom
D(E_F) = 0.711 states/eV per atom

=====

Question: Which value of D(E_F) does entry 1 give?
Answer: 0.303 states/eV per atom

=====

Question: The lowest D(E_F) belongs to which entry?
Answer: AgGeH